VASP calculation (PBE+U) on a relaxed structure of Li2V6O15.

## Properties
**Crystal system**: triclinic
**SG**: P-1, No. 2
**Magnetization**: 0.087 μB/atom
**E**: -166.73 eV per formula unit

a = 3.667 Å, b = 10.391 Å, c = 8.107 Å
α = 112.64°, β = 76.92°, γ = 89.99°
Site moments in Bohr magnetons follow the coordinates.
Atoms (fractional coordinates):
V 0.289 0.586 0.423  0.10
V 0.711 0.414 0.577  0.10
V 0.878 0.111 0.244  0.17
V 0.122 0.889 0.756  0.17
V 0.339 0.895 0.323  0.95
V 0.661 0.105 0.677  0.95
O 0.599 0.493 0.802  -0.01
O 0.241 0.431 0.519  -0.01
O 0.815 0.957 0.371  -0.02
O 0.556 0.236 0.888  -0.09
O 0.759 0.569 0.481  -0.01
O 0.185 0.043 0.629  -0.02
O 0.444 0.764 0.112  -0.09
O 0.000 0.000 0.000  -0.04
O 0.366 0.071 0.268  -0.04
O 0.401 0.507 0.198  -0.01
O 0.268 0.770 0.464  -0.04
O 0.118 0.731 0.765  -0.02
O 0.882 0.269 0.235  -0.02
O 0.634 0.929 0.732  -0.04
O 0.732 0.230 0.536  -0.04
Li 0.989 0.320 0.021  0.00
Li 0.011 0.680 0.979  0.00